Material: ZrTaAl
Method: DFT, SCAN
State: PBEsol geometry

Unit cell a=2.8977 b=2.8977 c=13.1141 alpha=90.00 beta=90.00 gamma=90.00
Last column: nearest neighbours and their distance in Å.
Space group I4mm (No. 107)
Asymmetric unit:
Zr 0.0000 0.0000 0.0000 [2 per cell]  4 Zr 2.90, 4 Al 3.03, 4 Ta 3.10
Ta 0.0000 0.0000 0.3228 [2 per cell]  4 Al 2.87, 4 Ta 2.90, 4 Zr 3.10
Al 0.0000 0.0000 0.6699 [2 per cell]  4 Ta 2.87, 4 Al 2.90, 4 Zr 3.03

Computed properties:
For the size of the total moment, the calculation gives 0.00 μB/cell. The distance to the lowest polymorph of the same formula comes out at 0.0 meV per atom. As for the total energy: -35.17 eV/atom. The calculation puts the formation energy at -0.49 eV/f.u.